1.
The following is a DFT calculation (PBE-GGA) of a geometry-optimized K3MnS3 structure.

## Properties
- total moment (μB/cell) = 16.00
- total DFT energy (no corrections) (Ry/atom) = -0.3340
- ΔE_f (raw) (eV/atom) = -0.9946
- energy above the most stable polymorph in this dataset (kJ/mol of formula units) = 0.0

POSCAR file:
```
K3MnS3
1.0
8.830 0.000 0.000
0.000 7.676 0.000
-1.398 0.000 12.146
K Mn S
12 4 12
direct
0.072 0.152 0.130 K
0.072 0.348 0.630 K
0.325 0.716 0.791 K
0.325 0.784 0.291 K
0.393 0.223 0.925 K
0.393 0.277 0.425 K
0.607 0.723 0.575 K
0.607 0.777 0.075 K
0.675 0.216 0.709 K
0.675 0.284 0.209 K
0.928 0.652 0.370 K
0.928 0.848 0.870 K
0.165 0.579 0.051 Mn
0.165 0.921 0.551 Mn
0.835 0.079 0.449 Mn
0.835 0.421 0.949 Mn
0.075 0.059 0.387 S
0.075 0.441 0.887 S
0.251 0.647 0.524 S
0.251 0.853 0.024 S
0.346 0.069 0.658 S
0.346 0.431 0.158 S
0.654 0.569 0.842 S
0.654 0.931 0.342 S
0.749 0.147 0.976 S
0.749 0.353 0.476 S
0.925 0.559 0.113 S
0.925 0.941 0.613 S
```

2.
The following is a DFT calculation (PBE-GGA) of a geometry-optimized K5MnS4 structure.

## Properties
- total moment (μB/cell) = 3.99
- total DFT energy (no corrections) (Ry/atom) = -0.2819
- ΔE_f (raw) (eV/atom) = -0.7184
- energy above the most stable polymorph in this dataset (kJ/mol of formula units) = 234.7

POSCAR file:
```
K5MnS4
1.0
8.805 -2.369 0.000
8.805 2.369 0.000
-0.623 0.000 7.520
K Mn S
5 1 4
direct
0.000 0.000 0.000 K
0.311 0.311 0.384 K
0.379 0.379 0.856 K
0.621 0.621 0.144 K
0.689 0.689 0.616 K
0.000 0.000 0.500 Mn
0.125 0.125 0.393 S
0.461 0.461 0.259 S
0.539 0.539 0.741 S
0.875 0.875 0.607 S
```

3.
The following is a DFT calculation (PBE-GGA) of a geometry-optimized KMn3S6 structure.

## Properties
- total moment (μB/cell) = 19.65
- total DFT energy (no corrections) (Ry/atom) = -0.4386
- ΔE_f (raw) (eV/atom) = -0.6300

POSCAR file:
```
KMn3S6
1.0
10.951 0.000 0.000
0.000 3.427 0.000
-3.938 0.000 10.440
K Mn S
2 6 12
direct
0.113 0.250 0.381 K
0.887 0.750 0.619 K
0.151 0.250 0.041 Mn
0.283 0.750 0.756 Mn
0.470 0.750 0.350 Mn
0.530 0.250 0.650 Mn
0.717 0.250 0.244 Mn
0.849 0.750 0.959 Mn
0.054 0.750 0.124 S
0.140 0.250 0.662 S
0.240 0.750 0.959 S
0.325 0.250 0.249 S
0.392 0.750 0.531 S
0.441 0.250 0.813 S
0.559 0.750 0.187 S
0.608 0.250 0.469 S
0.675 0.750 0.751 S
0.760 0.250 0.041 S
0.860 0.750 0.338 S
0.946 0.250 0.876 S
```

4.
The following is a DFT calculation (PBE-GGA) of a geometry-optimized K2Mn2S3 structure.

## Properties
- total moment (μB/cell) = 40.00
- total DFT energy (no corrections) (Ry/atom) = -0.4079
- ΔE_f (raw) (eV/atom) = -0.8480

POSCAR file:
```
K2Mn2S3
1.0
7.948 -7.150 0.000
7.948 7.150 0.000
-2.863 0.000 6.284
K Mn S
8 8 12
direct
0.067 0.933 0.750 K
0.214 0.786 0.250 K
0.309 0.490 0.431 K
0.490 0.309 0.931 K
0.510 0.691 0.069 K
0.691 0.510 0.569 K
0.786 0.214 0.750 K
0.933 0.067 0.250 K
0.040 0.579 0.744 Mn
0.148 0.296 0.799 Mn
0.296 0.148 0.299 Mn
0.421 0.960 0.756 Mn
0.579 0.040 0.244 Mn
0.704 0.852 0.701 Mn
0.852 0.704 0.201 Mn
0.960 0.421 0.256 Mn
0.054 0.644 0.439 S
0.094 0.243 0.087 S
0.243 0.094 0.587 S
0.254 0.507 0.921 S
0.356 0.946 0.061 S
0.493 0.746 0.579 S
0.507 0.254 0.421 S
0.644 0.054 0.939 S
0.746 0.493 0.079 S
0.757 0.906 0.413 S
0.906 0.757 0.913 S
0.946 0.356 0.561 S
```